(1)
A plane-wave DFT calculation with PBE-GGA was carried out for an optimized crystal structure of K2LaIn.

a = 6.9638 Å, b = 3.8659 Å, c = 6.0049 Å
α = 87.93°, β = 90.00°, γ = 90.00°
With the nearest neighbours (Å) after each atom.
Fractional positions:
K1 0.0000 0.5193 0.5172  3 K 3.37-3.61
K2 0.0000 0.9807 0.9828  3 K 3.37-3.61
La1 0.5000 0.2500 0.2500  4 In 3.51-3.63, 2 La 3.87
In1 0.5000 0.7500 0.7500  4 La 3.51-3.63, 2 In 3.87, 4 K 3.87

V (A^3/atom): 40.39
Total magnetic moment (μB/cell): 0.00
ΔH_f (0 K) (eV per atom): 0.162
D(E_F) (states/eV/f.u.): 3.69
Density (Mg/m³): 3.4
SG: P2/m, No. 10

(2)
A plane-wave DFT calculation with PBE-GGA was carried out for an optimized crystal structure of K2LaIn.

a = 10.4347 Å, b = 10.4347 Å, c = 5.3210 Å
α = 75.20°, β = 75.20°, γ = 21.36°
With the nearest neighbours (Å) after each atom.
Fractional positions:
In1 0.2500 0.2500 0.2500  4 La 3.29
La1 0.7500 0.7500 0.7500  4 In 3.29
K1 0.5868 0.5868 0.4132  2 In 3.77, 2 K 3.87, 2 La 4.18-4.19
K2 0.9132 0.9132 0.0868  2 In 3.77, 2 K 3.87, 2 La 4.18-4.19

V (A^3/atom): 50.95
Total magnetic moment (μB/cell): 0.00
ΔH_f (0 K) (eV per atom): 0.024
D(E_F) (states/eV/f.u.): 3.85
Density (Mg/m³): 2.7
SG: Immm, No. 71

(3)
A plane-wave DFT calculation with PBE-GGA was carried out for an optimized crystal structure of K2LaIn.

a = 4.0258 Å, b = 4.0252 Å, c = 12.3110 Å
α = 70.97°, β = 90.00°, γ = 90.00°
With the nearest neighbours (Å) after each atom.
Fractional positions:
La1 0.0000 0.4242 0.5757  4 In 3.30
K1 0.5000 0.2254 0.2742  4 K 4.03
K2 0.0000 0.0691 0.9315  4 In 3.77, 4 K 4.03, 1 La 4.14
In1 0.5000 0.7813 0.7186  4 La 3.30

V (A^3/atom): 47.15
Total magnetic moment (μB/cell): 0.00
ΔH_f (0 K) (eV per atom): -0.023
D(E_F) (states/eV/f.u.): 3.69
Density (Mg/m³): 2.9
SG: Pm, No. 6